Record 1
# MgScRu3 (PBE, relaxed)
data_MgScRu3
_space_group_name_H-M_alt 'P m -3 m'
_space_group_IT_number 221
_space_group_name_Hall '-P 4 2 3'
_cell_length_a 4.6329
_cell_length_b 4.6329
_cell_length_c 4.6329
_cell_angle_alpha 90.00
_cell_angle_beta 90.00
_cell_angle_gamma 90.00
loop_
_atom_site_label
_atom_site_type_symbol
_atom_site_fract_x
_atom_site_fract_y
_atom_site_fract_z
Mg1 Mg 0.0000 0.0000 0.0000
Sc1 Sc 0.5000 0.5000 0.5000
Ru1 Ru 0.0000 0.5000 0.5000
# - DFT formation energy: 1.22 eV per atom
# - E above lowest polymorph: 0.107 eV per atom

***

Record 2
# Ti2BiHPd (PBE, relaxed)
data_Ti2BiHPd
_space_group_name_H-M_alt 'P 4/m m m'
_space_group_IT_number 123
_space_group_name_Hall '-P 4 2'
_cell_length_a 4.1390
_cell_length_b 4.1390
_cell_length_c 4.3214
_cell_angle_alpha 90.00
_cell_angle_beta 90.00
_cell_angle_gamma 90.00
loop_
_atom_site_label
_atom_site_type_symbol
_atom_site_fract_x
_atom_site_fract_y
_atom_site_fract_z
Ti1 Ti 0.0000 0.5000 0.0000
Bi1 Bi 0.0000 0.0000 0.5000
H1 H 0.5000 0.5000 0.0000
Pd1 Pd 0.5000 0.5000 0.5000
# - VASP energy: -5.963 eV per atom

***

Record 3
# CeErGa (PBE, relaxed)
data_CeErGa
_space_group_name_H-M_alt 'P 3 m 1'
_space_group_IT_number 156
_cell_length_a 5.1412
_cell_length_b 5.1412
_cell_length_c 3.0511
_cell_angle_alpha 90.00
_cell_angle_beta 90.00
_cell_angle_gamma 120.00
loop_
_space_group_symop_operation_xyz
'x,y,z'
'-y,x-y,z'
'-x+y,-x,z'
'-y,-x,z'
'-x+y,y,z'
'x,x-y,z'
loop_
_atom_site_label
_atom_site_type_symbol
_atom_site_fract_x
_atom_site_fract_y
_atom_site_fract_z
Ce1 Ce 0.0000 0.0000 0.0000
Er1 Er 0.6667 0.3333 0.9932
Ga1 Ga 0.3333 0.6667 0.4990
# - DFT formation energy: -0.03 eV per atom
# - E above lowest polymorph: 0.261 eV per atom

***

Record 4
# Li6Ga2Rh (PBE, relaxed)
data_Li6Ga2Rh
_space_group_name_H-M_alt 'C 1 2/m 1'
_space_group_IT_number 12
_cell_length_a 7.1768
_cell_length_b 13.4030
_cell_length_c 2.9817
_cell_angle_alpha 90.00
_cell_angle_beta 98.49
_cell_angle_gamma 90.00
loop_
_space_group_symop_operation_xyz
'x,y,z'
'-x,-y,-z'
'-x,y,-z'
'x,-y,z'
'x+1/2,y+1/2,z'
'-x+1/2,-y+1/2,-z'
'-x+1/2,y+1/2,-z'
'x+1/2,-y+1/2,z'
loop_
_atom_site_label
_atom_site_type_symbol
_atom_site_fract_x
_atom_site_fract_y
_atom_site_fract_z
Li1 Li 0.1713 0.1696 0.3443
Li2 Li 0.1956 0.0000 0.8664
Ga1 Ga 0.0000 0.3451 0.0000
Rh1 Rh 0.0000 0.5000 0.5000
# - DFT formation energy: -0.24 eV per atom